VASP calculation (PBE) on SmIrPd after structural relaxation.

Output
Symmetry ... No. 63
Electronic total energy ... -41.134 eV for the cell shown

```
SmIrPd
1.0
-1.1550 3.7052 -3.7227
0.2788 -4.1158 -1.5659
-4.5289 -0.3151 6.2381
Ir Pd Sm
2 2 2
Cartesian
-1.0340 -2.5282 0.2431 Ir
-4.3711 1.8025 0.7064 Ir
0.0000 0.0000 0.0000 Pd
-2.7025 -0.3629 0.4748 Pd
-1.6264 -1.5663 -2.3861 Sm
-3.7787 0.8406 3.3356 Sm
```

=====

VASP calculation (PBE) on PmSm6Y2Er3 after structural relaxation.

Output
Symmetry ... No. 12
Electronic total energy ... -59.501 eV for the cell shown

```
PmSm6Y2Er3
1.0
6.2256 0.0002 0.0147
-3.1111 5.3925 0.0147
-1.0616 -1.8382 11.6590
Sm Y Pm Er
6 2 1 3
Cartesian
3.0938 1.7663 8.7333 Sm
-0.0197 -0.0341 8.7201 Sm
-0.0162 3.5625 8.7333 Sm
2.0691 -0.0080 2.9551 Sm
-1.0410 1.7882 2.9551 Sm
2.0725 3.5886 2.9683 Sm
3.1130 1.7978 0.0147 Y
0.0015 3.5948 0.0147 Y
0.0000 0.0000 0.0000 Pm
1.0264 1.7772 5.8442 Er
4.1363 -0.0189 5.8442 Er
-2.0835 3.5733 5.8442 Er
```

=====

VASP calculation (PBE) on RbC2F8 after structural relaxation.

Output
ΔE_f (raw) ... -1.62 eV per atom
Symmetry ... No. 12
Electronic total energy ... -52.183 eV for the cell shown

```
RbC2F8
1.0
-3.8720 -4.0166 0.3569
4.5215 -0.7941 -3.6656
2.5547 -1.7411 8.1207
C F Rb
2 8 1
Cartesian
0.5423 -4.3153 1.1022 C
2.6620 -2.2365 3.7099 C
3.5420 -3.1288 3.2155 F
1.7931 -2.8590 4.5272 F
3.7577 -1.2587 0.0686 F
1.9812 -1.6713 2.6850 F
-0.3377 -3.4230 1.5965 F
-0.5534 -5.2931 4.7435 F
1.4112 -3.6928 0.2849 F
1.2231 -4.8805 2.1270 F
0.0000 0.0000 0.0000 Rb
```

=====

VASP calculation (PBE) on NiPtAu2 after structural relaxation.

Output
Polymorph energy (0 for the lowest one) ... 94 meV/atom
Symmetry ... No. 160
Electronic total energy ... -17.929 eV for the cell shown

```
NiPtAu2
1.0
2.8241 0.0000 0.0000
1.4120 2.4457 0.0000
1.4120 0.8152 9.1872
Au Pt Ni
2 1 1
Cartesian
1.4120 0.8152 2.1358 Au
1.4120 0.8152 7.0509 Au
2.8241 1.6305 4.6014 Pt
4.2361 2.4457 9.1799 Ni
```

=====

VASP calculation (PBE) on DyHo6Er12 after structural relaxation.

Output
Polymorph energy (0 for the lowest one) ... 0 meV/atom
Symmetry ... No. 148
Electronic total energy ... -83.746 eV for the cell shown

```
DyHo6Er12
1.0
8.3474 0.7240 0.8673
-0.5499 8.3606 0.8673
-0.5499 -0.6407 8.3811
Ho Er Dy
6 12 1
Cartesian
0.2417 5.6538 2.8182 Ho
5.5421 7.9378 4.0492 Ho
1.6958 5.8670 8.5336 Ho
5.5518 2.5770 1.5820 Ho
1.7055 0.5062 6.0664 Ho
7.0058 2.7901 7.2975 Ho
2.9138 6.4323 5.6093 Er
1.5524 3.1154 0.5674 Er
1.3314 3.6138 5.3200 Er
-0.2338 1.5347 3.1667 Er
5.9162 4.8301 4.7956 Er
4.4035 8.2443 8.0397 Er
5.6951 5.3285 9.5482 Er
3.3702 4.9013 2.7846 Er
4.3337 2.0117 4.5063 Er
2.8440 0.1997 2.0759 Er
3.8774 3.5426 7.3311 Er
7.4814 6.9092 6.9490 Er
0.0000 0.0000 0.0000 Dy
```

=====

VASP calculation (PBE) on Tb5Zn4Sn after structural relaxation.

Output
Symmetry ... No. 123
Electronic total energy ... -36.303 eV for the cell shown

```
Tb5Zn4Sn
1.0
3.6030 0.0000 0.0000
0.0000 3.6030 0.0000
0.0000 0.0000 18.2965
Zn Tb Sn
4 5 1
Cartesian
0.0000 0.0000 10.9563 Zn
0.0000 0.0000 7.3402 Zn
0.0000 0.0000 14.4084 Zn
0.0000 0.0000 3.8881 Zn
1.8015 1.8015 2.0570 Tb
1.8015 1.8015 5.5998 Tb
1.8015 1.8015 9.1482 Tb
1.8015 1.8015 12.6966 Tb
1.8015 1.8015 16.2394 Tb
0.0000 0.0000 0.0000 Sn
```

=====

VASP calculation (PBE) on RbB2PbCl8 after structural relaxation.

Output
ΔE_f (raw) ... -0.99 eV per atom
Symmetry ... No. 148
Electronic total energy ... -44.719 eV for the cell shown

```
RbB2PbCl8
1.0
6.2961 0.0000 0.0000
3.1481 5.4526 0.0000
3.1481 1.8175 10.3467
Cl B Pb Rb
8 2 1 1
Cartesian
5.5905 5.6521 2.2087 Cl
9.4442 5.4526 5.6644 Cl
8.3958 3.2376 2.2087 Cl
7.6901 5.2547 8.1380 Cl
4.9022 2.0155 2.2087 Cl
3.1481 1.8175 4.6823 Cl
7.0018 1.6180 8.1380 Cl
4.1965 4.0325 8.1380 Cl
3.1481 1.8175 2.8227 B
9.4442 5.4526 7.5241 B
0.0000 0.0000 0.0000 Pb
6.2961 3.6351 5.1734 Rb
```

=====

VASP calculation (PBE) on MgBi6Pd12 after structural relaxation.

Output
Symmetry ... No. 148
Electronic total energy ... -92.326 eV for the cell shown

```
MgBi6Pd12
1.0
-5.1055 2.6557 -4.9782
-3.9322 -1.9185 6.2256
4.3024 5.9554 1.9809
Bi Pd Mg
6 12 1
Cartesian
-3.2950 6.0764 0.2479 Bi
-1.4402 0.6161 2.9804 Bi
-1.8089 5.2715 4.0964 Bi
0.6036 3.2813 0.4532 Bi
-5.3389 3.4113 2.7751 Bi
-2.9264 1.4210 -0.8681 Bi
1.9319 4.9206 2.6973 Pd
-4.4883 3.5923 0.0234 Pd
-6.6672 1.7719 0.5309 Pd
-1.7040 4.0351 -0.8704 Pd
-3.9528 1.2087 1.6905 Pd
-0.7824 5.4839 1.5377 Pd
-3.0313 2.6574 4.0987 Pd
-0.5837 6.8199 -1.0107 Pd
-1.0096 3.0831 6.1113 Pd
-0.2470 3.1003 3.2048 Pd
-4.1516 -0.1274 4.2389 Pd
-3.7256 3.6095 -2.8831 Pd
0.0000 0.0000 0.0000 Mg
```

=====

Which value of electronic total energy does entry 1 give? -41.134 eV for the cell shown

=====

Which of these has the highest electronic total energy? NiPtAu2

=====

What is the formula in the second record? PmSm6Y2Er3

=====

Which value of electronic total energy does entry 3 give? -52.183 eV for the cell shown